# 1
A geometry-optimized MoAu4 structure. Source: Alexandria via LeMat-Bulk, functional PBE.

Geometry as CIF:
```
data_MoAu4
_chemical_formula_sum 'Mo1 Au4'
_symmetry_space_group_name_H-M 'P 1'
_symmetry_Int_Tables_number 1
_symmetry_space_group_name_Hall 'P 1'
_cell_length_a 7.5269
_cell_length_b 7.5269
_cell_length_c 7.5269
_cell_angle_alpha 150.87
_cell_angle_beta 150.87
_cell_angle_gamma 41.67
loop_
_atom_site_label
_atom_site_type_symbol
_atom_site_fract_x
_atom_site_fract_y
_atom_site_fract_z
Mo1 Mo 0.0000 0.0000 0.0000
Au1 Au 0.2500 0.7500 0.5000
Au2 Au 0.4046 0.4046 0.0000
Au3 Au 0.5954 0.5954 0.0000
Au4 Au 0.7500 0.2500 0.5000
```

***

# 2
A geometry-optimized MoAu3 structure. Source: Alexandria via LeMat-Bulk, functional PBE.

Geometry as CIF:
```
data_MoAu3
_chemical_formula_sum 'Mo1 Au3'
_symmetry_space_group_name_H-M 'P 1'
_symmetry_Int_Tables_number 1
_symmetry_space_group_name_Hall 'P 1'
_cell_length_a 9.5178
_cell_length_b 9.5178
_cell_length_c 9.5178
_cell_angle_alpha 17.73
_cell_angle_beta 17.73
_cell_angle_gamma 17.73
loop_
_atom_site_label
_atom_site_type_symbol
_atom_site_fract_x
_atom_site_fract_y
_atom_site_fract_z
Mo1 Mo 0.0000 0.0000 0.0000
Au1 Au 0.2526 0.2526 0.2526
Au2 Au 0.5000 0.5000 0.5000
Au3 Au 0.7474 0.7474 0.7474
```

***

Let's list energy relative to the elements in order: 588 205 meV per atom.